No. 1
Density functional theory data (GGA-PBE) for CsKRb2Br6 after structural relaxation.

Cell: 9.1544 9.1544 9.1542 Å, 60.00 60.00 90.00°
Element x y z (fractional)
Rb (0.7500, 0.2500, 0.5000)
Rb (0.2500, 0.7500, 0.5000)
Br (0.2598, 0.2598, 0.0000)
Br (0.2598, 0.2598, 0.4804)
Br (0.7402, 0.7402, 0.5196)
Br (0.7402, 0.7402, 0.0000)
Br (0.7402, 0.2598, 0.0000)
Br (0.2598, 0.7402, 0.0000)
K (0.5000, 0.5000, 0.0000)
Cs (0.0000, 0.0000, 0.0000)

Summary:
Space group: No. 225
ΔE_f (raw): -1.057 eV/atom
D(E_F): 2.52 states/eV/atom

No. 2
Density functional theory data (GGA-PBE) for CuC after structural relaxation.

Cell: 2.9722 2.9722 4.8690 Å, 90.00 90.00 120.00°
Element x y z (fractional)
Cu (0.0000, 0.0000, 0.0000)
Cu (0.0000, 0.0000, 0.5000)
C (0.3333, 0.6667, 0.2500)
C (0.6667, 0.3333, 0.7500)

Summary:
Relative energy among the computed polymorphs: 1342 meV per atom
Space group: No. 194
D(E_F): 0.30 states/eV/atom
ΔH_f (0 K): 1.56 eV/atom

No. 3
Density functional theory data (GGA-PBE) for KBaNp4N8 after structural relaxation.

Cell: 6.9461 6.9461 7.6847 Å, 63.13 63.13 60.00°
Element x y z (fractional)
N (0.2961, 0.2961, 0.6146)
N (0.2206, 0.2206, 0.3382)
N (0.7399, 0.2095, 0.3107)
N (0.7399, 0.7399, 0.3107)
N (0.7931, 0.2961, 0.6146)
N (0.7958, 0.7958, 0.6126)
N (0.2095, 0.7399, 0.3107)
N (0.2961, 0.7931, 0.6146)
K (0.3551, 0.3551, 0.9347)
Np (0.5095, 0.0073, 0.4758)
Np (0.0073, 0.5095, 0.4758)
Np (0.0073, 0.0073, 0.4758)
Np (0.5233, 0.5233, 0.4302)
Ba (0.0064, 0.0064, 0.9808)

Summary:
Space group: No. 160
ΔE_f (raw): -0.893 eV/atom
D(E_F): 1.49 states/eV/atom

No. 4
Density functional theory data (GGA-PBE) for BaCaGdSbO6 after structural relaxation.

Cell: 5.9977 5.9977 5.9977 Å, 60.00 60.00 60.00°
Element x y z (fractional)
O (0.2643, 0.7357, 0.2643)
O (0.7357, 0.2643, 0.7357)
O (0.7357, 0.2643, 0.2643)
O (0.2643, 0.7357, 0.7357)
O (0.2643, 0.2643, 0.7357)
O (0.7357, 0.7357, 0.2643)
Ca (0.7500, 0.7500, 0.7500)
Sb (0.5000, 0.5000, 0.5000)
Gd (0.0000, 0.0000, 0.0000)
Ba (0.2500, 0.2500, 0.2500)

Summary:
Relative energy among the computed polymorphs: 66 meV per atom
Space group: No. 216
ΔE_f (raw): -2.543 eV/atom
D(E_F): 0.00 states/eV/atom

No. 5
Density functional theory data (GGA-PBE) for Ba2TbZnSe5 after structural relaxation.

Cell: 4.2882 9.6730 13.3109 Å, 90.00 90.00 102.81°
Element x y z (fractional)
Se (0.3495, 0.6990, 0.0122)
Se (0.3107, 0.6215, 0.3715)
Se (0.5016, 0.0033, 0.2718)
Se (0.6505, 0.3010, 0.5122)
Se (0.6893, 0.3785, 0.8715)
Se (0.6998, 0.3995, 0.1645)
Se (0.4984, 0.9967, 0.7718)
Se (0.0438, 0.0877, 0.0305)
Se (0.3002, 0.6005, 0.6645)
Se (0.9562, 0.9123, 0.5305)
Zn (0.4410, 0.8819, 0.4332)
Zn (0.5590, 0.1181, 0.9332)
Ba (0.1192, 0.2384, 0.6919)
Ba (0.1260, 0.2521, 0.3280)
Ba (0.8740, 0.7479, 0.8280)
Ba (0.8808, 0.7616, 0.1919)
Tb (0.7991, 0.5982, 0.5204)
Tb (0.2009, 0.4018, 0.0204)

Summary:
Space group: No. 36
ΔE_f (raw): -1.542 eV/atom
D(E_F): 0.73 states/eV/atom

No. 6
Density functional theory data (GGA-PBE) for ZrMoAs2 after structural relaxation.

Cell: 8.5298 8.5298 8.5298 Å, 22.07 22.07 22.07°
Element x y z (fractional)
As (0.0011, 0.0011, 0.0011)
As (0.2406, 0.2406, 0.2406)
Mo (0.5052, 0.5052, 0.5052)
Zr (0.7530, 0.7530, 0.7530)

Summary:
Relative energy among the computed polymorphs: 585 meV per atom
Space group: No. 160
D(E_F): 0.73 states/eV/atom
ΔH_f (0 K): -0.07 eV/atom

No. 7
Density functional theory data (GGA-PBE) for RbSbI3 after structural relaxation.

Cell: 6.9450 6.9700 15.4926 Å, 62.96 62.59 89.74°
Element x y z (fractional)
I (0.0073, 0.7813, 0.9135)
I (0.5371, 0.3190, 0.5445)
I (0.2009, 0.4137, 0.3313)
I (0.0958, 0.7447, 0.5500)
I (0.9026, 0.1122, 0.1322)
I (0.5660, 0.2070, 0.9191)
Sb (0.0806, 0.2937, 0.6264)
Sb (0.0225, 0.2322, 0.8371)
Rb (0.8042, 0.5156, 0.2292)
Rb (0.2991, 0.0103, 0.2343)

Summary:
Relative energy among the computed polymorphs: 0 meV per atom
Space group: No. 2
ΔE_f (raw): -0.715 eV/atom
D(E_F): 0.00 states/eV/atom

No. 8
Density functional theory data (GGA-PBE) for Nd7HoMg4 after structural relaxation.

Cell: 5.8689 9.2996 8.2681 Å, 67.85 69.21 71.61°
Element x y z (fractional)
Nd (0.8035, 0.8782, 0.5148)
Nd (0.1965, 0.1218, 0.4852)
Nd (0.7473, 0.2874, 0.2181)
Nd (0.5000, 0.0000, 0.0000)
Nd (0.2527, 0.7126, 0.7819)
Nd (0.9177, 0.4262, 0.7384)
Nd (0.0823, 0.5738, 0.2616)
Ho (0.0000, 0.0000, 0.0000)
Mg (0.6745, 0.6553, 0.9957)
Mg (0.4619, 0.6939, 0.3823)
Mg (0.5381, 0.3061, 0.6177)
Mg (0.3255, 0.3447, 0.0043)

Summary:
Space group: No. 12
D(E_F): 1.18 states/eV/atom
ΔH_f (0 K): 0.13 eV/atom

No. 9
Density functional theory data (GGA-PBE) for ZnCr2POs after structural relaxation.

Cell: 4.1778 4.3533 4.1778 Å, 90.00 90.00 90.00°
Element x y z (fractional)
Os (0.0000, 0.5000, 0.0000)
P (0.0000, 0.0000, 0.0000)
Cr (0.0000, 0.0000, 0.5000)
Cr (0.5000, 0.0000, 0.0000)
Zn (0.5000, 0.5000, 0.5000)

Summary:
Space group: No. 123
D(E_F): 1.12 states/eV/atom
ΔH_f (0 K): 0.61 eV/atom

No. 10
Density functional theory data (GGA-PBE) for RbRhS2 after structural relaxation.

Cell: 3.7871 6.9752 6.8777 Å, 90.00 89.59 90.00°
Element x y z (fractional)
S (0.7478, 0.9497, 0.6555)
S (0.7478, 0.5503, 0.6555)
S (0.2522, 0.4497, 0.3445)
S (0.2522, 0.0503, 0.3445)
Rh (0.2485, 0.7500, 0.6015)
Rh (0.7515, 0.2500, 0.3985)
Rb (0.2452, 0.2500, 0.8868)
Rb (0.7548, 0.7500, 0.1132)

Summary:
Space group: No. 11
ΔE_f (raw): -0.470 eV/atom
D(E_F): 0.62 states/eV/atom

No. 11
Density functional theory data (GGA-PBE) for Rb2CaTlBr6 after structural relaxation.

Cell: 8.2335 8.2335 8.2339 Å, 60.00 60.00 90.00°
Element x y z (fractional)
Br (0.7461, 0.7461, 0.5078)
Br (0.7462, 0.7462, 0.0000)
Br (0.2538, 0.2538, 0.0000)
Br (0.2539, 0.2539, 0.4922)
Br (0.2538, 0.7462, 0.0000)
Br (0.7462, 0.2538, 0.0000)
Rb (0.2500, 0.7500, 0.5000)
Rb (0.7500, 0.2500, 0.5000)
Ca (0.5000, 0.5000, 0.0000)
Tl (0.0000, 0.0000, 0.0000)

Summary:
Relative energy among the computed polymorphs: 4 meV per atom
Space group: No. 225
ΔE_f (raw): -1.431 eV/atom
D(E_F): 1.42 states/eV/atom

No. 12
Density functional theory data (GGA-PBE) for CsCuSeN2 after structural relaxation.

Cell: 4.3576 4.3576 7.1448 Å, 90.00 90.00 90.00°
Element x y z (fractional)
Cs (0.0000, 0.0000, 0.0000)
N (0.5000, 0.0000, 0.0000)
N (0.0000, 0.5000, 0.0000)
Se (0.0000, 0.0000, 0.5000)
Cu (0.5000, 0.5000, 0.5000)

Summary:
Relative energy among the computed polymorphs: 930 meV per atom
Space group: No. 123
ΔE_f (raw): 2.502 eV/atom
D(E_F): 1.04 states/eV/atom

No. 13
Density functional theory data (GGA-PBE) for Ac2LaErSb4 after structural relaxation.

Cell: 4.6540 8.0497 8.0467 Å, 70.52 90.00 90.00°
Element x y z (fractional)
Sb (0.0000, 0.2655, 0.2519)
Sb (0.5000, 0.7298, 0.2636)
Sb (0.5000, 0.2702, 0.7364)
Sb (0.0000, 0.7345, 0.7481)
Ac (0.5000, 0.0000, 0.5000)
Ac (0.0000, 0.0000, 0.0000)
La (0.5000, 0.5000, 0.0000)
Er (0.0000, 0.5000, 0.5000)

Summary:
Space group: No. 10
ΔE_f (raw): -1.177 eV/atom
D(E_F): 0.11 states/eV/atom

No. 14
Density functional theory data (GGA-PBE) for GeICl4 after structural relaxation.

Cell: 7.8442 7.8441 7.8440 Å, 122.68 122.68 85.42°
Element x y z (fractional)
Cl (0.8367, 0.6370, 0.2602)
Cl (0.3630, 0.6233, 0.1998)
Cl (0.4235, 0.1633, 0.8002)
Cl (0.3767, 0.5765, 0.7398)
I (0.7500, 0.2500, 0.5000)
Ge (0.5000, 0.5000, 0.0000)

Summary:
Space group: No. 82
ΔE_f (raw): -0.556 eV/atom
D(E_F): 1.93 states/eV/atom

No. 15
Density functional theory data (GGA-PBE) for CaMg2Al6O12 after structural relaxation.

Cell: 8.8393 8.8393 2.8320 Å, 90.00 90.00 120.00°
Element x y z (fractional)
O (0.7684, 0.6247, 0.5000)
O (0.1331, 0.2019, 0.0000)
O (0.3753, 0.1437, 0.5000)
O (0.4653, 0.4419, 0.0000)
O (0.1970, 0.4629, 0.5000)
O (0.5581, 0.0233, 0.0000)
O (0.8563, 0.2316, 0.5000)
O (0.7981, 0.9312, 0.0000)
O (0.2659, 0.8030, 0.5000)
O (0.9767, 0.5347, 0.0000)
O (0.5371, 0.7341, 0.5000)
O (0.0688, 0.8669, 0.0000)
Mg (0.3333, 0.6667, 0.0000)
Mg (0.0000, 0.0000, 0.5000)
Al (0.6758, 0.9871, 0.5000)
Al (0.0227, 0.3461, 0.0000)
Al (0.3233, 0.9773, 0.0000)
Al (0.0129, 0.6887, 0.5000)
Al (0.6539, 0.6767, 0.0000)
Al (0.3113, 0.3242, 0.5000)
Ca (0.6667, 0.3333, 0.0000)

Summary:
Space group: No. 174
ΔE_f (raw): -2.923 eV/atom
D(E_F): 0.00 states/eV/atom

No. 16
Density functional theory data (GGA-PBE) for Pm4Y5Zn after structural relaxation.

Cell: 3.6010 3.6010 24.1524 Å, 90.00 90.00 90.00°
Element x y z (fractional)
Zn (0.0000, 0.0000, 0.0000)
Pm (0.0000, 0.0000, 0.3942)
Pm (0.0000, 0.0000, 0.8185)
Pm (0.0000, 0.0000, 0.1815)
Pm (0.0000, 0.0000, 0.6058)
Y (0.5000, 0.5000, 0.9271)
Y (0.5000, 0.5000, 0.7127)
Y (0.5000, 0.5000, 0.0729)
Y (0.5000, 0.5000, 0.5000)
Y (0.5000, 0.5000, 0.2873)

Summary:
Space group: No. 123
D(E_F): 1.27 states/eV/atom
ΔH_f (0 K): -0.06 eV/atom

No. 17
Density functional theory data (GGA-PBE) for MgBeAg after structural relaxation.

Cell: 5.2698 5.2696 3.0945 Å, 72.93 72.92 34.15°
Element x y z (fractional)
Ag (0.9745, 0.9745, 0.0255)
Be (0.3526, 0.3526, 0.6474)
Mg (0.6729, 0.6729, 0.3271)

Summary:
Relative energy among the computed polymorphs: 0 meV per atom
Space group: No. 107
D(E_F): 0.27 states/eV/atom
ΔH_f (0 K): 0.09 eV/atom

No. 18
Density functional theory data (GGA-PBE) for BaAsW3 after structural relaxation.

Cell: 5.0221 5.0221 5.0221 Å, 90.00 90.00 90.00°
Element x y z (fractional)
W (0.5000, 0.0000, 0.0000)
W (0.0000, 0.5000, 0.0000)
W (0.0000, 0.0000, 0.5000)
As (0.5000, 0.5000, 0.5000)
Ba (0.0000, 0.0000, 0.0000)

Summary:
Relative energy among the computed polymorphs: 2295 meV per atom
Space group: No. 221
D(E_F): 1.88 states/eV/atom
ΔH_f (0 K): 3.88 eV/atom

No. 19
Density functional theory data (GGA-PBE) for Tm4SiPSe2 after structural relaxation.

Cell: 4.0149 7.0084 6.9549 Å, 70.74 90.00 90.00°
Element x y z (fractional)
Tm (0.5000, 0.2675, 0.7442)
Tm (0.0000, 0.7299, 0.7566)
Tm (0.0000, 0.2701, 0.2434)
Tm (0.5000, 0.7325, 0.2558)
Si (0.0000, 0.5000, 0.5000)
P (0.5000, 0.5000, 0.0000)
Se (0.0000, 0.0000, 0.0000)
Se (0.5000, 0.0000, 0.5000)

Summary:
Space group: No. 10
ΔE_f (raw): -1.521 eV/atom
D(E_F): 0.15 states/eV/atom

No. 20
Density functional theory data (GGA-PBE) for SrCaCd2O4 after structural relaxation.

Cell: 4.9279 4.9279 5.9833 Å, 114.32 114.32 90.00°
Element x y z (fractional)
Cd (0.6871, 0.1871, 0.5000)
Cd (0.1871, 0.6871, 0.5000)
Sr (0.9373, 0.9373, 0.0000)
O (0.9372, 0.4373, 0.0000)
O (0.1964, 0.1964, 0.5188)
O (0.6777, 0.6777, 0.4812)
O (0.4373, 0.9372, 0.0000)
Ca (0.4373, 0.4373, 0.0000)

Summary:
Space group: No. 139
ΔE_f (raw): -1.921 eV/atom
D(E_F): 0.08 states/eV/atom